The following is a PBE calculation of an optimized crystal structure of Sr2AgBr, from Alexandria via LeMat-Bulk.

## Properties
The calculation puts the energy relative to the elements, uncorrected at -0.862 eV per atom. For the volume, the calculation gives 431.6 Å³/cell. As for the spin magnetization: 0.00 μB/f.u. The value obtained for the energy above the most stable polymorph in this dataset is 0.07 eV per formula unit. Its crystal system is trigonal.

Cell lengths 4.4371, 4.4371, 25.3123 Å; angles 90.00, 90.00, 120.00 degrees
Space group R3m (No. 160, hexagonal axes)
Symmetry-distinct sites (fractional):
1 Sr 0.0000 0.0000 0.0000 [3 per cell]
2 Sr 0.0000 0.0000 0.1856 [3 per cell]
3 Ag 0.0000 0.0000 0.5919 [3 per cell]
4 Br 0.0000 0.0000 0.7643 [3 per cell]



The following is a PBE calculation of an optimized crystal structure of Sr2AgBr, from Alexandria via LeMat-Bulk.

## Properties
The calculation puts the energy relative to the elements, uncorrected at -0.806 eV per atom. For the volume, the calculation gives 129.7 Å³/cell. As for the spin magnetization: 0.00 μB/f.u. The value obtained for the energy above the most stable polymorph in this dataset is 0.29 eV per formula unit. Its crystal system is tetragonal.

Cell lengths 3.9159, 3.9159, 8.4570 Å; angles 90.00, 90.00, 90.00 degrees
Space group P4/mmm (No. 123)
Symmetry-distinct sites (fractional):
1 Sr 0.0000 0.0000 0.2240 [2 per cell]
2 Ag 0.5000 0.5000 0.0000 [1 per cell]
3 Br 0.5000 0.5000 0.5000 [1 per cell]



The following is a PBE calculation of an optimized crystal structure of SrAgBr, from Alexandria via LeMat-Bulk.

## Properties
The calculation puts the energy relative to the elements, uncorrected at -0.852 eV per atom. For the volume, the calculation gives 424.6 Å³/cell. As for the spin magnetization: 0.00 μB/f.u. The value obtained for the energy above the most stable polymorph in this dataset is 0.06 eV per formula unit. Its crystal system is cubic.

Cell lengths 7.5160, 7.5160, 7.5160 Å; angles 90.00, 90.00, 90.00 degrees
Space group F-43m (No. 216)
Symmetry-distinct sites (fractional):
1 Sr 0.0000 0.0000 0.0000 [4 per cell]
2 Ag 0.2500 0.2500 0.2500 [4 per cell]
3 Br 0.2500 0.2500 0.7500 [4 per cell]



The following is a PBE calculation of an optimized crystal structure of Sr3Ag2Br8, from Alexandria via LeMat-Bulk.

## Properties
The calculation puts the energy relative to the elements, uncorrected at -1.553 eV per atom. For the volume, the calculation gives 950.8 Å³/cell. As for the spin magnetization: 0.00 μB/f.u. Its crystal system is monoclinic.

Cell lengths 14.2657, 9.0723, 7.9218 Å; angles 90.00, 111.96, 90.00 degrees
Space group C2/m (No. 12)
Symmetry-distinct sites (fractional):
1 Sr 0.0000 0.0000 0.0000 [2 per cell]
2 Sr 0.0000 0.2557 0.5000 [4 per cell]
3 Ag 0.1155 0.5000 0.0693 [4 per cell]
4 Br 0.1195 0.0000 0.7458 [4 per cell]
5 Br 0.1224 0.2490 0.2519 [8 per cell]
6 Br 0.1299 0.5000 0.7429 [4 per cell]



The following is a PBE calculation of an optimized crystal structure of Sr4AgBr, from Alexandria via LeMat-Bulk.

## Properties
The calculation puts the energy relative to the elements, uncorrected at 0.185 eV per atom. For the volume, the calculation gives 1201.4 Å³/cell. As for the spin magnetization: 0.02 μB/f.u. Its crystal system is cubic.

Cell lengths 10.6308, 10.6308, 10.6308 Å; angles 90.00, 90.00, 90.00 degrees
Space group F-43m (No. 216)
Symmetry-distinct sites (fractional):
1 Sr 0.1245 0.1245 0.1245 [16 per cell]
2 Ag 0.2500 0.2500 0.7500 [4 per cell]
3 Br 0.0000 0.0000 0.5000 [4 per cell]



The following is a PBE calculation of an optimized crystal structure of SrAgBr2, from Alexandria via LeMat-Bulk.

## Properties
The calculation puts the energy relative to the elements, uncorrected at -0.776 eV per atom. For the volume, the calculation gives 461.1 Å³/cell. As for the spin magnetization: 0.84 μB/f.u. The value obtained for the energy above the most stable polymorph in this dataset is 1.17 eV per formula unit. Its crystal system is cubic.

Cell lengths 7.7254, 7.7254, 7.7254 Å; angles 90.00, 90.00, 90.00 degrees
Space group F-43m (No. 216)
Symmetry-distinct sites (fractional):
1 Sr 0.0000 0.0000 0.0000 [4 per cell]
2 Ag 0.2500 0.2500 0.7500 [4 per cell]
3 Br 0.0000 0.0000 0.5000 [4 per cell]
4 Br 0.2500 0.2500 0.2500 [4 per cell]



The following is a PBE calculation of an optimized crystal structure of SrAgBr4, from Alexandria via LeMat-Bulk.

## Properties
The calculation puts the energy relative to the elements, uncorrected at -0.225 eV per atom. For the volume, the calculation gives 762.4 Å³/cell. As for the spin magnetization: 1.66 μB/f.u. The value obtained for the energy above the most stable polymorph in this dataset is 5.44 eV per formula unit. Its crystal system is cubic.

Cell lengths 9.1352, 9.1352, 9.1352 Å; angles 90.00, 90.00, 90.00 degrees
Space group F-43m (No. 216)
Symmetry-distinct sites (fractional):
1 Sr 0.0000 0.0000 0.0000 [4 per cell]
2 Ag 0.2500 0.2500 0.7500 [4 per cell]
3 Br 0.1244 0.1244 0.3756 [16 per cell]



The following is a PBE calculation of an optimized crystal structure of SrAgBr6, from Alexandria via LeMat-Bulk.

## Properties
The calculation puts the energy relative to the elements, uncorrected at -0.849 eV per atom. For the volume, the calculation gives 298.5 Å³/cell. As for the spin magnetization: 0.00 μB/f.u. Its crystal system is triclinic.

Cell lengths 4.9302, 7.7226, 7.9434 Å; angles 97.60, 91.58, 94.88 degrees
Space group P-1 (No. 2)
Symmetry-distinct sites (fractional):
1 Sr 0.0000 0.0000 0.0000 [1 per cell]
2 Ag 0.5000 0.5000 0.0000 [1 per cell]
3 Br 0.0548 0.1213 0.4154 [2 per cell]
4 Br 0.1112 0.3889 0.1961 [2 per cell]
5 Br 0.4840 0.8179 0.1538 [2 per cell]



The following is a PBE calculation of an optimized crystal structure of Sr2AgBr5, from Alexandria via LeMat-Bulk.

## Properties
The calculation puts the energy relative to the elements, uncorrected at -1.641 eV per atom. For the volume, the calculation gives 1155.2 Å³/cell. As for the spin magnetization: 0.00 μB/f.u. Its crystal system is monoclinic.

Cell lengths 12.8196, 9.8772, 9.1454 Å; angles 90.00, 93.99, 90.00 degrees
Space group P2_1/c (No. 14)
Symmetry-distinct sites (fractional):
1 Sr 0.0304 0.1234 0.2510 [4 per cell]
2 Sr 0.3607 0.1581 0.9609 [4 per cell]
3 Ag 0.3087 0.6121 0.9749 [4 per cell]
4 Br 0.0849 0.6507 0.9493 [4 per cell]
5 Br 0.1084 0.1001 0.9020 [4 per cell]
6 Br 0.2675 0.0951 0.2651 [4 per cell]
7 Br 0.3986 0.0830 0.6463 [4 per cell]
8 Br 0.3991 0.6496 0.4932 [4 per cell]



The following is a PBE calculation of an optimized crystal structure of SrAg3Br, from Alexandria via LeMat-Bulk.

## Properties
The calculation puts the energy relative to the elements, uncorrected at 0.785 eV per atom. For the volume, the calculation gives 210.7 Å³/cell. As for the spin magnetization: 1.76 μB/f.u. The value obtained for the energy above the most stable polymorph in this dataset is 2.21 eV per formula unit. Its crystal system is cubic.

Cell lengths 5.9507, 5.9507, 5.9507 Å; angles 90.00, 90.00, 90.00 degrees
Space group Pm-3m (No. 221)
Symmetry-distinct sites (fractional):
1 Sr 0.0000 0.0000 0.0000 [1 per cell]
2 Ag 0.0000 0.0000 0.5000 [3 per cell]
3 Br 0.5000 0.5000 0.5000 [1 per cell]



The following is a PBE calculation of an optimized crystal structure of Sr2AgBr, from Alexandria via LeMat-Bulk.

## Properties
The calculation puts the energy relative to the elements, uncorrected at -0.712 eV per atom. For the volume, the calculation gives 609.8 Å³/cell. As for the spin magnetization: 0.00 μB/f.u. The value obtained for the energy above the most stable polymorph in this dataset is 0.67 eV per formula unit. Its crystal system is tetragonal.

Cell lengths 8.4003, 8.4003, 8.6416 Å; angles 90.00, 90.00, 90.00 degrees
Space group I-42d (No. 122)
Symmetry-distinct sites (fractional):
1 Sr 0.2495 0.2500 0.1250 [8 per cell]
2 Ag 0.0000 0.0000 0.0000 [4 per cell]
3 Br 0.0000 0.0000 0.5000 [4 per cell]



The following is a PBE calculation of an optimized crystal structure of SrAgBr, from Alexandria via LeMat-Bulk.

## Properties
The calculation puts the energy relative to the elements, uncorrected at -0.611 eV per atom. For the volume, the calculation gives 419.0 Å³/cell. As for the spin magnetization: 0.00 μB/f.u. The value obtained for the energy above the most stable polymorph in this dataset is 0.78 eV per formula unit. Its crystal system is cubic.

Cell lengths 7.4829, 7.4829, 7.4829 Å; angles 90.00, 90.00, 90.00 degrees
Space group F-43m (No. 216)
Symmetry-distinct sites (fractional):
1 Sr 0.0000 0.0000 0.0000 [4 per cell]
2 Ag 0.0000 0.0000 0.5000 [4 per cell]
3 Br 0.2500 0.2500 0.2500 [4 per cell]



The following is a PBE calculation of an optimized crystal structure of Sr2AgBr, from Alexandria via LeMat-Bulk.

## Properties
The calculation puts the energy relative to the elements, uncorrected at -0.683 eV per atom. For the volume, the calculation gives 275.6 Å³/cell. As for the spin magnetization: 0.00 μB/f.u. The value obtained for the energy above the most stable polymorph in this dataset is 0.79 eV per formula unit. Its crystal system is orthorhombic.

Cell lengths 4.8103, 6.4549, 8.8773 Å; angles 90.00, 90.00, 90.00 degrees
Space group Immm (No. 71)
Symmetry-distinct sites (fractional):
1 Sr 0.0000 0.0000 0.2405 [4 per cell]
2 Ag 0.0000 0.5000 0.0000 [2 per cell]
3 Br 0.0000 0.5000 0.5000 [2 per cell]



The following is a PBE calculation of an optimized crystal structure of SrAgBr2, from Alexandria via LeMat-Bulk.

## Properties
The calculation puts the energy relative to the elements, uncorrected at -1.067 eV per atom. For the volume, the calculation gives 118.9 Å³/cell. As for the spin magnetization: 0.00 μB/f.u. The value obtained for the energy above the most stable polymorph in this dataset is 0.00 eV per formula unit. Its crystal system is monoclinic.

Cell lengths 4.3627, 4.3831, 6.5852 Å; angles 90.00, 109.27, 90.00 degrees
Space group Pm (No. 6)
Symmetry-distinct sites (fractional):
1 Sr 0.0000 0.0000 0.0000 [1 per cell]
2 Ag 0.1901 0.5000 0.3821 [1 per cell]
3 Br 0.4258 0.5000 0.8510 [1 per cell]
4 Br 0.6856 0.0000 0.3731 [1 per cell]



The following is a PBE calculation of an optimized crystal structure of SrAg7Br12, from Alexandria via LeMat-Bulk.

## Properties
The calculation puts the energy relative to the elements, uncorrected at -0.505 eV per atom. For the volume, the calculation gives 1129.5 Å³/cell. As for the spin magnetization: 0.00 μB/f.u. Its crystal system is cubic.

Cell lengths 10.4143, 10.4143, 10.4143 Å; angles 90.00, 90.00, 90.00 degrees
Space group Im-3 (No. 204)
Symmetry-distinct sites (fractional):
1 Sr 0.0000 0.0000 0.0000 [2 per cell]
2 Ag 0.0000 0.0000 0.5000 [6 per cell]
3 Ag 0.2500 0.2500 0.2500 [8 per cell]
4 Br 0.0000 0.1725 0.3008 [24 per cell]



The following is a PBE calculation of an optimized crystal structure of SrAgBr2, from Alexandria via LeMat-Bulk.

## Properties
The calculation puts the energy relative to the elements, uncorrected at -0.941 eV per atom. For the volume, the calculation gives 569.2 Å³/cell. As for the spin magnetization: 0.00 μB/f.u. The value obtained for the energy above the most stable polymorph in this dataset is 0.50 eV per formula unit. Its crystal system is tetragonal.

Cell lengths 5.5886, 5.5886, 18.2242 Å; angles 90.00, 90.00, 90.00 degrees
Space group I-42d (No. 122)
Symmetry-distinct sites (fractional):
1 Sr 0.0000 0.0000 0.0000 [4 per cell]
2 Ag 0.0000 0.0000 0.5000 [4 per cell]
3 Br 0.2375 0.2500 0.6250 [8 per cell]



The following is a PBE calculation of an optimized crystal structure of SrAgBr2, from Alexandria via LeMat-Bulk.

## Properties
The calculation puts the energy relative to the elements, uncorrected at -0.976 eV per atom. For the volume, the calculation gives 224.1 Å³/cell. As for the spin magnetization: 0.00 μB/f.u. The value obtained for the energy above the most stable polymorph in this dataset is 0.36 eV per formula unit. Its crystal system is tetragonal.

Cell lengths 4.4450, 4.4450, 11.3410 Å; angles 90.00, 90.00, 90.00 degrees
Space group I-4m2 (No. 119)
Symmetry-distinct sites (fractional):
1 Sr 0.0000 0.0000 0.0000 [2 per cell]
2 Ag 0.0000 0.5000 0.7500 [2 per cell]
3 Br 0.0000 0.0000 0.5000 [2 per cell]
4 Br 0.0000 0.5000 0.2500 [2 per cell]



The following is a PBE calculation of an optimized crystal structure of SrAgBr4, from Alexandria via LeMat-Bulk.

## Properties
The calculation puts the energy relative to the elements, uncorrected at -1.105 eV per atom. For the volume, the calculation gives 418.2 Å³/cell. As for the spin magnetization: 0.00 μB/f.u. The value obtained for the energy above the most stable polymorph in this dataset is 0.16 eV per formula unit. Its crystal system is tetragonal.

Cell lengths 7.3439, 7.3439, 7.7538 Å; angles 90.00, 90.00, 90.00 degrees
Space group I-4 (No. 82)
Symmetry-distinct sites (fractional):
1 Sr 0.0000 0.0000 0.0000 [2 per cell]
2 Ag 0.0000 0.5000 0.7500 [2 per cell]
3 Br 0.2481 0.7505 0.2507 [8 per cell]



The following is a PBE calculation of an optimized crystal structure of SrAgBr, from Alexandria via LeMat-Bulk.

## Properties
The calculation puts the energy relative to the elements, uncorrected at -0.846 eV per atom. For the volume, the calculation gives 195.6 Å³/cell. As for the spin magnetization: 0.00 μB/f.u. The value obtained for the energy above the most stable polymorph in this dataset is 0.08 eV per formula unit. Its crystal system is tetragonal.

Cell lengths 3.8487, 3.8487, 13.2057 Å; angles 90.00, 90.00, 90.00 degrees
Space group I4mm (No. 107)
Symmetry-distinct sites (fractional):
1 Sr 0.0000 0.0000 0.0000 [2 per cell]
2 Ag 0.0000 0.0000 0.6494 [2 per cell]
3 Br 0.0000 0.0000 0.3723 [2 per cell]



The following is a PBE calculation of an optimized crystal structure of Sr2Ag2Br7, from Alexandria via LeMat-Bulk.

## Properties
The calculation puts the energy relative to the elements, uncorrected at -1.224 eV per atom. For the volume, the calculation gives 853.5 Å³/cell. As for the spin magnetization: 0.00 μB/f.u. Its crystal system is monoclinic.

Cell lengths 8.7741, 13.4123, 7.2984 Å; angles 90.00, 96.40, 90.00 degrees
Space group C2/m (No. 12)
Symmetry-distinct sites (fractional):
1 Sr 0.0000 0.1837 0.0000 [4 per cell]
2 Ag 0.2342 0.0000 0.6357 [4 per cell]
3 Br 0.0000 0.5000 0.5000 [2 per cell]
4 Br 0.0685 0.0000 0.2617 [4 per cell]
5 Br 0.2334 0.3106 0.2382 [8 per cell]